Entry 1:
# ThAl3Au4 (GGA-PBE, relaxed)
data_ThAl3Au4
_cell_length_a 4.4068
_cell_length_b 4.4068
_cell_length_c 8.2156
_cell_angle_alpha 90.00
_cell_angle_beta 90.00
_cell_angle_gamma 90.00
_symmetry_space_group_name_H-M 'P 1'
_symmetry_Int_Tables_number 1
loop_
_symmetry_equiv_pos_as_xyz
'x,y,z'
loop_
_atom_site_label
_atom_site_type_symbol
_atom_site_fract_x
_atom_site_fract_y
_atom_site_fract_z
Th1 Th 0.0000 0.0000 0.0000
Al1 Al 0.0000 0.0000 0.5000
Al2 Al 0.5000 0.5000 0.1536
Al3 Al 0.5000 0.5000 0.8464
Au1 Au 0.0000 0.5000 0.3173
Au2 Au 0.0000 0.5000 0.6827
Au3 Au 0.5000 0.0000 0.3173
Au4 Au 0.5000 0.0000 0.6827
# - Energy: -4.481 eV/atom

=====

Entry 2:
# BaLa2Hg3 (GGA-PBE, relaxed)
data_BaLa2Hg3
_cell_length_a 3.9782
_cell_length_b 3.9782
_cell_length_c 12.1668
_cell_angle_alpha 90.00
_cell_angle_beta 90.00
_cell_angle_gamma 90.00
_symmetry_space_group_name_H-M 'P 1'
_symmetry_Int_Tables_number 1
loop_
_symmetry_equiv_pos_as_xyz
'x,y,z'
loop_
_atom_site_label
_atom_site_type_symbol
_atom_site_fract_x
_atom_site_fract_y
_atom_site_fract_z
Ba1 Ba 0.0000 0.0000 0.0000
La1 La 0.0000 0.0000 0.3410
La2 La 0.0000 0.0000 0.6590
Hg1 Hg 0.5000 0.5000 0.1913
Hg2 Hg 0.5000 0.5000 0.5000
Hg3 Hg 0.5000 0.5000 0.8087
# - Energy: -2.617 eV/atom

=====

Entry 3:
# UH3F9 (GGA-PBE, relaxed)
data_UH3F9
_cell_length_a 8.2287
_cell_length_b 8.2287
_cell_length_c 8.8182
_cell_angle_alpha 117.26
_cell_angle_beta 117.26
_cell_angle_gamma 55.66
_symmetry_space_group_name_H-M 'P 1'
_symmetry_Int_Tables_number 1
loop_
_symmetry_equiv_pos_as_xyz
'x,y,z'
loop_
_atom_site_label
_atom_site_type_symbol
_atom_site_fract_x
_atom_site_fract_y
_atom_site_fract_z
U1 U 0.2487 0.7513 0.5000
U2 U 0.7513 0.2487 0.0000
H1 H 0.5236 0.9751 0.1511
H2 H 0.5453 0.9597 0.3866
H3 H 0.7273 0.7712 0.9999
H4 H 0.7712 0.7273 0.4999
H5 H 0.9597 0.5453 0.8866
H6 H 0.9751 0.5236 0.6511
F1 F 0.0369 0.2119 0.0666
F2 F 0.0431 0.4602 0.7523
F3 F 0.2019 0.8136 0.7313
F4 F 0.2119 0.0369 0.5666
F5 F 0.2852 0.4660 0.4339
F6 F 0.2951 0.6893 0.2686
F7 F 0.4602 0.0431 0.2523
F8 F 0.4660 0.2852 0.9339
F9 F 0.5544 0.6507 0.6161
F10 F 0.5933 0.9011 0.0064
F11 F 0.5979 0.9074 0.4932
F12 F 0.6507 0.5544 0.1161
F13 F 0.6893 0.2951 0.7686
F14 F 0.8136 0.2019 0.2313
F15 F 0.8517 0.9430 0.8835
F16 F 0.9011 0.5933 0.5064
F17 F 0.9074 0.5979 0.9932
F18 F 0.9430 0.8517 0.3835
# - Energy: -5.461 eV/atom

=====

Entry 4:
# Ac2PuPdO6 (GGA-PBE, relaxed)
data_Ac2PuPdO6
_cell_length_a 5.4642
_cell_length_b 5.4642
_cell_length_c 5.6229
_cell_angle_alpha 90.00
_cell_angle_beta 90.00
_cell_angle_gamma 90.00
_symmetry_space_group_name_H-M 'P 1'
_symmetry_Int_Tables_number 1
loop_
_symmetry_equiv_pos_as_xyz
'x,y,z'
loop_
_atom_site_label
_atom_site_type_symbol
_atom_site_fract_x
_atom_site_fract_y
_atom_site_fract_z
Ac1 Ac 0.0000 0.5000 0.0000
Ac2 Ac 0.5000 0.0000 0.0000
Pu1 Pu 0.0000 0.0000 0.5621
Pd1 Pd 0.5000 0.5000 0.4895
O1 O 0.0000 0.0000 0.1580
O2 O 0.2433 0.2433 0.7110
O3 O 0.2433 0.7567 0.7110
O4 O 0.5000 0.5000 0.1127
O5 O 0.7567 0.2433 0.7110
O6 O 0.7567 0.7567 0.7110
# - Energy: -8.134 eV/atom

=====

Number 1: total magnetic moment 0.0 μB/f.u., N(E_F) 0.414 states/eV per atom. Number 2: total magnetic moment 0.2 μB/f.u., N(E_F) 0.843 states/eV per atom. Number 3: total magnetic moment 0.0 μB/f.u., N(E_F) 0.000 states/eV per atom. Number 4: total magnetic moment 2.0 μB/f.u., N(E_F) 0.502 states/eV per atom.